# FeReClF2 (PBE with a Hubbard U, optimized geometry)
data_FeReClF2
_cell_length_a 3.9413
_cell_length_b 3.9413
_cell_length_c 5.5949
_cell_angle_alpha 90.00
_cell_angle_beta 90.00
_cell_angle_gamma 90.00
_symmetry_space_group_name_H-M 'P 4/m m m'
_symmetry_Int_Tables_number 123
_symmetry_space_group_name_Hall '-P 4 2'
loop_
_atom_site_label
_atom_site_type_symbol
_atom_site_fract_x
_atom_site_fract_y
_atom_site_fract_z
_atom_site_occupancy
Fe1 Fe 0.0000 0.0000 0.0000 1
Re1 Re 0.5000 0.5000 0.5000 1
Cl1 Cl 0.0000 0.0000 0.5000 1
F1 F 0.0000 0.5000 0.0000 1
# * D(E_F): 3.81 states/eV per cell
# * VASP energy: -24.49 eV per cell